# 1
Entry from Alexandria: a relaxed structure of Dy7Er3Tm (GGA-PBE).

Cell lengths 6.916, 5.477, 9.819 Å; angles 90.00, 110.54, 90.00 degrees
Space group P2/m (No. 10)
Inequivalent atoms, fractional coordinates:
Dy (0.000, 0.000, 0.000) [1 per cell]
Dy (0.146, 0.500, 0.291) [2 per cell]
Dy (0.321, 0.500, 0.640) [2 per cell]
Dy (0.416, 0.000, 0.830) [2 per cell]
Er (0.000, 0.000, 0.500) [1 per cell]
Er (0.279, 0.500, 0.000) [2 per cell]
Tm (0.500, 0.000, 0.500) [1 per cell]

Calculated values
Crystal system ... monoclinic
DFT total energy ... -48.8 eV/cell


# 2
Entry from Alexandria: a relaxed structure of YFe4Sb12 (GGA-PBE).

Cell lengths 9.168, 9.168, 9.168 Å; angles 90.00, 90.00, 90.00 degrees
Space group Im-3 (No. 204)
Inequivalent atoms, fractional coordinates:
Y (0.000, 0.000, 0.000) [2 per cell]
Fe (0.250, 0.250, 0.250) [8 per cell]
Sb (0.000, 0.333, 0.162) [24 per cell]

Calculated values
Formation energy (no corrections) ... -0.16 eV/atom
Crystal system ... cubic
DFT total energy ... -185.2 eV/cell


# 3
Entry from Alexandria: a relaxed structure of Na3TeS (GGA-PBE).

Cell lengths 4.919, 8.412, 6.689 Å; angles 90.00, 102.88, 90.00 degrees
Space group P2_1/m (No. 11)
Inequivalent atoms, fractional coordinates:
Na (0.190, 0.047, 0.245) [4 per cell]
Na (0.301, 0.250, 0.758) [2 per cell]
Te (0.255, 0.750, 0.581) [2 per cell]
S (0.156, 0.750, 0.051) [2 per cell]

Calculated values
Formation energy (no corrections) ... -0.79 eV/atom
Crystal system ... monoclinic
DFT total energy ... -30.4 eV/cell


# 4
Entry from Alexandria: a relaxed structure of Li6Cd (GGA-PBE).

Cell lengths 5.607, 5.607, 8.437 Å; angles 90.00, 90.00, 90.00 degrees
Space group P4/nbm (No. 125, origin choice 2)
Inequivalent atoms, fractional coordinates:
Li (0.076, 0.576, 0.146) [8 per cell]
Li (0.250, 0.250, 0.359) [4 per cell]
Cd (0.250, 0.750, 0.500) [2 per cell]

Calculated values
Crystal system ... tetragonal
DFT total energy ... -24.4 eV/cell


# 5
Entry from Alexandria: a relaxed structure of CaPr3 (GGA-PBE).

Cell lengths 5.277, 5.277, 5.277 Å; angles 90.00, 90.00, 90.00 degrees
Space group Pm-3m (No. 221)
Inequivalent atoms, fractional coordinates:
Ca (0.000, 0.000, 0.000) [1 per cell]
Pr (0.000, 0.500, 0.500) [3 per cell]

Calculated values
Crystal system ... cubic
DFT total energy ... -16.1 eV/cell


# 6
Entry from Alexandria: a relaxed structure of Nb2SnW (GGA-PBE).

Cell lengths 3.482, 3.482, 6.090 Å; angles 90.00, 90.00, 90.00 degrees
Space group P4/mmm (No. 123)
Inequivalent atoms, fractional coordinates:
Nb (0.000, 0.000, 0.234) [2 per cell]
Sn (0.500, 0.500, 0.500) [1 per cell]
W (0.500, 0.500, 0.000) [1 per cell]

Calculated values
Crystal system ... tetragonal
DFT total energy ... -37.0 eV/cell


# 7
Entry from Alexandria: a relaxed structure of SrTbGa (GGA-PBE).

Cell lengths 3.734, 3.734, 13.574 Å; angles 90.00, 90.00, 90.00 degrees
Space group P4/mmm (No. 123)
Inequivalent atoms, fractional coordinates:
Sr (0.000, 0.000, 0.149) [2 per cell]
Tb (0.500, 0.500, 0.378) [2 per cell]
Ga (0.000, 0.000, 0.500) [1 per cell]
Ga (0.500, 0.500, 0.000) [1 per cell]

Calculated values
Crystal system ... tetragonal
DFT total energy ... -20.1 eV/cell


# 8
Entry from Alexandria: a relaxed structure of PrThZnAg (GGA-PBE).

Cell lengths 7.458, 7.458, 7.458 Å; angles 90.00, 90.00, 90.00 degrees
Space group F-43m (No. 216)
Inequivalent atoms, fractional coordinates:
Pr (0.000, 0.000, 0.000) [4 per cell]
Th (0.000, 0.000, 0.500) [4 per cell]
Zn (0.250, 0.250, 0.250) [4 per cell]
Ag (0.250, 0.250, 0.750) [4 per cell]

Calculated values
Crystal system ... cubic
DFT total energy ... -67.7 eV/cell


# 9
Entry from Alexandria: a relaxed structure of CrAu3Cl (GGA-PBE).

Cell lengths 4.963, 4.963, 4.963 Å; angles 90.00, 90.00, 90.00 degrees
Space group Pm-3m (No. 221)
Inequivalent atoms, fractional coordinates:
Cr (0.000, 0.000, 0.000) [1 per cell]
Au (0.000, 0.500, 0.500) [3 per cell]
Cl (0.500, 0.500, 0.500) [1 per cell]

Calculated values
Formation energy (no corrections) ... 1.14 eV/atom
Crystal system ... cubic
DFT total energy ... -15.6 eV/cell


# 10
Entry from Alexandria: a relaxed structure of MgAg2HgCl6 (GGA-PBE).

Cell lengths 6.8125, 6.8125, 17.9153 Å; angles 90.00, 90.00, 120.00 degrees
Space group R3 (No. 146, hexagonal axes)
Inequivalent atoms, fractional coordinates:
Mg (0.0000, 0.0000, 0.0000) [3 per cell]
Ag (0.0000, 0.0000, 0.2957) [3 per cell]
Ag (0.0000, 0.0000, 0.7842) [3 per cell]
Hg (0.0000, 0.0000, 0.5065) [3 per cell]
Cl (0.0016, 0.3690, 0.7394) [9 per cell]
Cl (0.0445, 0.6813, 0.5767) [9 per cell]

Calculated values
Formation energy (no corrections) ... -0.86 eV/atom
Crystal system ... trigonal
DFT total energy ... -81.9 eV/cell


# 11
Entry from Alexandria: a relaxed structure of K2PuCdS4 (GGA-PBE).

Cell lengths 6.981, 4.057, 7.734 Å; angles 90.00, 108.96, 90.00 degrees
Space group P2/m (No. 10)
Inequivalent atoms, fractional coordinates:
K (0.000, 0.000, 0.000) [1 per cell]
K (0.500, 0.500, 0.000) [1 per cell]
Pu (0.000, 0.500, 0.500) [1 per cell]
Cd (0.500, 0.000, 0.500) [1 per cell]
S (0.217, 0.000, 0.706) [2 per cell]
S (0.262, 0.500, 0.307) [2 per cell]

Calculated values
Formation energy (no corrections) ... -1.18 eV/atom
Crystal system ... monoclinic
DFT total energy ... -43.4 eV/cell


# 12
Entry from Alexandria: a relaxed structure of Tl2AuF8 (GGA-PBE).

Cell lengths 7.460, 10.965, 4.168 Å; angles 90.00, 100.90, 90.00 degrees
Space group C2/m (No. 12)
Inequivalent atoms, fractional coordinates:
Tl (0.000, 0.166, 0.000) [4 per cell]
Au (0.000, 0.500, 0.000) [2 per cell]
F (0.000, 0.231, 0.500) [4 per cell]
F (0.120, 0.000, 0.277) [4 per cell]
F (0.184, 0.353, 0.074) [8 per cell]

Calculated values
Formation energy (no corrections) ... -1.50 eV/atom
Crystal system ... monoclinic
DFT total energy ... -79.0 eV/cell


Number 1: calculated density 8.621 g/cm3. Number 2: calculated density 7.643 g/cm3. Number 3: calculated density 2.814 g/cm3. Number 4: calculated density 1.929 g/cm3. Number 5: calculated density 5.230 g/cm3. Number 6: calculated density 10.983 g/cm3. Number 7: calculated density 5.550 g/cm3. Number 8: calculated density 8.746 g/cm3. Number 9: calculated density 9.215 g/cm3. Number 10: calculated density 4.519 g/cm3. Number 11: calculated density 4.512 g/cm3. Number 12: calculated density 7.517 g/cm3.